# 1
Density functional theory data (PBE) for an optimized crystal structure of RbLiTe2.

formation energy from raw total energies	-38	kJ/mol of atoms
E above lowest polymorph	398	meV/atom

a b c (Å): 5.6972 5.6972 5.6972
angles (deg): 60.00 60.00 60.00
With the nearest neighbours (Å) after each atom.
Positions (direct):
1 Rb 0.5000 0.5000 0.5000  8 Te 3.49
2 Te 0.2500 0.2500 0.2500  4 Rb 3.49, 4 Li 3.49
3 Te 0.7500 0.7500 0.7500  4 Rb 3.49, 4 Li 3.49
4 Li 0.0000 0.0000 0.0000  8 Te 3.49

---

# 2
Density functional theory data (PBE) for an optimized crystal structure of RbLiTe2.

formation energy from raw total energies	-76	kJ/mol of atoms
E above lowest polymorph	6	meV/atom

a b c (Å): 6.4875 7.2878 6.5327
angles (deg): 94.55 109.86 84.93
With the nearest neighbours (Å) after each atom.
Positions (direct):
1 Li 0.3852 0.7227 0.2187  4 Te 2.79-2.85, 1 Li 3.07
2 Li 0.7966 0.7188 0.6288  4 Te 2.78-2.85, 1 Li 3.07
3 Te 0.2242 0.5635 0.7969  2 Li 2.78-2.79, 1 Te 2.86
4 Te 0.6968 0.9960 0.3191  2 Li 2.84-2.85, 1 Te 2.86
5 Te 0.4845 0.4454 0.5279  2 Li 2.85, 1 Te 2.86
6 Te 0.9575 0.8778 0.0504  2 Li 2.79, 1 Te 2.86
7 Rb 0.2945 0.0461 0.7222  6 Te 3.68-3.91, 4 Li 4.01-4.07
8 Rb 0.8865 0.3952 0.1242  6 Te 3.68-3.91, 4 Li 4.01-4.07

---

# 3
Density functional theory data (PBE) for an optimized crystal structure of RbLiTe2.

formation energy from raw total energies	-74	kJ/mol of atoms
E above lowest polymorph	31	meV/atom

a b c (Å): 6.0058 5.5181 4.6481
angles (deg): 90.00 90.00 95.76
With the nearest neighbours (Å) after each atom.
Positions (direct):
1 Li 0.9080 0.0032 0.8530  4 Te 2.83
2 Te 0.6521 0.0713 0.3532  2 Li 2.83, 1 Te 2.95
3 Te 0.1646 0.9358 0.3532  2 Li 2.83, 1 Te 2.95
4 Rb 0.4075 0.5029 0.8532  8 Te 3.73-4.06, 2 Li 3.87

---

# 4
Density functional theory data (PBE) for an optimized crystal structure of RbLiTe2.

formation energy from raw total energies	-60	kJ/mol of atoms
E above lowest polymorph	173	meV/atom

a b c (Å): 12.1197 4.8162 4.8162
angles (deg): 140.93 129.76 50.24
With the nearest neighbours (Å) after each atom.
Positions (direct):
1 Li 0.5000 0.5000 0.5000  4 Te 2.93, 2 Li 3.22
2 Rb 0.0000 0.0000 0.0000  2 Rb 3.22
3 Te 0.2948 0.0073 0.9927  2 Li 2.93, 2 Te 3.22
4 Te 0.7052 0.9927 0.0073  2 Li 2.93, 2 Te 3.22

---

# 5
Density functional theory data (PBE) for an optimized crystal structure of RbLiTe2.

formation energy from raw total energies	-44	kJ/mol of atoms
E above lowest polymorph	334	meV/atom

a b c (Å): 11.5836 11.5836 5.9816
angles (deg): 90.00 90.00 155.09
With the nearest neighbours (Å) after each atom.
Positions (direct):
1 Te 0.8178 0.1822 0.7500  1 Li 2.77
2 Te 0.1381 0.8619 0.7500  2 Li 2.81
3 Te 0.8619 0.1381 0.2500  2 Li 2.81
4 Te 0.1822 0.8178 0.2500  1 Li 2.77
5 Rb 0.9595 0.0405 0.7500  1 Te 3.21, 2 Rb 3.51
6 Rb 0.0405 0.9595 0.2500  1 Te 3.21, 2 Rb 3.51
7 Li 0.3049 0.6951 0.2500  3 Te 2.77-2.81
8 Li 0.6951 0.3049 0.7500  3 Te 2.77-2.81

---

# 6
Density functional theory data (PBE) for an optimized crystal structure of RbLiTe4.

formation energy from raw total energies	-43	kJ/mol of atoms

a b c (Å): 5.3194 10.7111 10.1834
angles (deg): 74.22 119.56 97.02
With the nearest neighbours (Å) after each atom.
Positions (direct):
1 Te 0.5086 0.5989 0.7270  1 Li 2.77, 2 Te 2.90-2.94
2 Te 0.5516 0.9856 0.7853  2 Te 2.86-2.93, 1 Li 2.92
3 Te 0.4914 0.4011 0.2730  1 Li 2.77, 2 Te 2.90-2.94
4 Te 0.0730 0.3126 0.3876  1 Li 2.84, 2 Te 2.90-2.94
5 Te 0.4484 0.0144 0.2147  2 Te 2.86-2.93, 1 Li 2.92
6 Te 0.9482 0.9047 0.2353  2 Te 2.86-2.93, 1 Li 3.01
7 Te 0.9270 0.6874 0.6124  1 Li 2.84, 2 Te 2.90-2.94
8 Te 0.0518 0.0953 0.7647  2 Te 2.86-2.93, 1 Li 3.01
9 Li 0.0000 0.0000 0.5000  4 Te 2.92-3.01
10 Li 0.5000 0.5000 0.5000  4 Te 2.77-2.84
11 Rb 0.7815 0.2646 0.9874  9 Te 3.74-4.07
12 Rb 0.2185 0.7354 0.0126  9 Te 3.74-4.07

---

# 7
Density functional theory data (PBE) for an optimized crystal structure of RbLiTe2.

formation energy from raw total energies	-72	kJ/mol of atoms
E above lowest polymorph	42	meV/atom

a b c (Å): 9.3510 7.0941 7.0941
angles (deg): 84.02 122.24 57.76
With the nearest neighbours (Å) after each atom.
Positions (direct):
1 Li 0.7500 0.2590 0.7590  4 Te 2.80-3.05, 2 Li 3.01
2 Li 0.2500 0.7410 0.2410  4 Te 2.80-3.05, 2 Li 3.01
3 Rb 0.2500 0.1103 0.6103  8 Te 3.62-3.85, 1 Li 3.89
4 Rb 0.7500 0.8897 0.3897  8 Te 3.62-3.85, 1 Li 3.89
5 Te 0.1020 0.2631 0.9953  2 Li 2.80-3.05, 1 Te 2.88
6 Te 0.6020 0.5047 0.2369  2 Li 2.80-3.05, 1 Te 2.88
7 Te 0.8980 0.7369 0.0047  2 Li 2.80-3.05, 1 Te 2.88
8 Te 0.3980 0.4953 0.7631  2 Li 2.80-3.05, 1 Te 2.88

---

# 8
Density functional theory data (PBE) for an optimized crystal structure of RbLi2Te2.

formation energy from raw total energies	-86	kJ/mol of atoms
E above lowest polymorph	0	meV/atom

a b c (Å): 4.8491 4.8491 7.1956
angles (deg): 70.31 70.31 90.00
With the nearest neighbours (Å) after each atom.
Positions (direct):
1 Te 0.3635 0.3635 0.2730  4 Li 2.82
2 Te 0.6365 0.6365 0.7270  4 Li 2.82
3 Rb 0.0000 0.0000 0.0000  8 Te 3.84, 8 Li 3.99
4 Li 0.2500 0.7500 0.5000  4 Te 2.82
5 Li 0.7500 0.2500 0.5000  4 Te 2.82

---

# 9
Density functional theory data (PBE) for an optimized crystal structure of RbLiTe2.

formation energy from raw total energies	-70	kJ/mol of atoms
E above lowest polymorph	72	meV/atom

a b c (Å): 5.7085 8.2673 11.7661
angles (deg): 90.00 90.00 90.00
With the nearest neighbours (Å) after each atom.
Positions (direct):
1 Te 0.7500 0.4351 0.6834  1 Te 2.83, 2 Li 2.85-3.15
2 Te 0.2500 0.5649 0.3166  1 Te 2.83, 2 Li 2.85-3.15
3 Te 0.7500 0.1850 0.5191  1 Te 2.83, 2 Li 3.16
4 Te 0.2500 0.3150 0.0191  1 Te 2.83, 2 Li 3.16
5 Te 0.2500 0.0649 0.1834  1 Te 2.83, 2 Li 2.85-3.15
6 Te 0.7500 0.9351 0.8166  1 Te 2.83, 2 Li 2.85-3.15
7 Te 0.2500 0.8150 0.4809  1 Te 2.83, 2 Li 3.16
8 Te 0.7500 0.6850 0.9809  1 Te 2.83, 2 Li 3.16
9 Li 0.2500 0.2051 0.4048  4 Te 2.85-3.16
10 Li 0.2500 0.7051 0.0952  4 Te 2.85-3.16
11 Li 0.7500 0.2949 0.9048  4 Te 2.85-3.16
12 Li 0.7500 0.7949 0.5952  4 Te 2.85-3.16
13 Rb 0.7500 0.3430 0.2192  8 Te 3.58-3.98, 3 Li 3.72-3.77
14 Rb 0.2500 0.1570 0.7192  8 Te 3.58-3.98, 3 Li 3.72-3.77
15 Rb 0.2500 0.6570 0.7808  8 Te 3.58-3.98, 3 Li 3.72-3.77
16 Rb 0.7500 0.8430 0.2808  8 Te 3.58-3.98, 3 Li 3.72-3.77

---

# 10
Density functional theory data (PBE) for an optimized crystal structure of RbLiTe2.

formation energy from raw total energies	-67	kJ/mol of atoms
E above lowest polymorph	94	meV/atom

a b c (Å): 8.1825 4.5451 4.5451
angles (deg): 103.21 114.08 65.92
With the nearest neighbours (Å) after each atom.
Positions (direct):
1 Rb 0.5000 0.5000 0.5000  6 Te 3.73-3.77, 2 Li 3.78
2 Te 0.1626 0.2893 0.7107  1 Te 2.79, 1 Li 2.98
3 Te 0.8374 0.7107 0.2893  1 Te 2.79, 1 Li 2.98
4 Li 0.0000 0.0000 0.0000  6 Te 2.98-3.15

---

# 11
Density functional theory data (PBE) for an optimized crystal structure of RbLiTe2.

formation energy from raw total energies	-45	kJ/mol of atoms
E above lowest polymorph	324	meV/atom

a b c (Å): 3.8847 3.8847 10.1373
angles (deg): 90.00 90.00 120.00
With the nearest neighbours (Å) after each atom.
Positions (direct):
1 Rb 0.0000 0.0000 0.0020  6 Te 3.63, 6 Rb 3.88
2 Te 0.6667 0.3333 0.2830  3 Li 2.81
3 Te 0.3333 0.6667 0.7199  1 Li 2.74
4 Li 0.3333 0.6667 0.4501  4 Te 2.74-2.81

---

# 12
Density functional theory data (PBE) for an optimized crystal structure of RbLiTe2.

formation energy from raw total energies	-75	kJ/mol of atoms
E above lowest polymorph	20	meV/atom

a b c (Å): 5.4006 5.4895 10.7957
angles (deg): 79.39 70.63 76.11
With the nearest neighbours (Å) after each atom.
Positions (direct):
1 Te 0.0997 0.2250 0.6940  2 Te 3.00-3.28
2 Te 0.8301 0.1534 0.0157  2 Li 2.87, 1 Te 2.93
3 Te 0.2990 0.3272 0.3982  2 Li 2.86-2.91, 1 Te 3.00
4 Te 0.0400 0.7739 0.2040  4 Li 2.80-2.97, 1 Te 2.93
5 Rb 0.3247 0.5698 0.8791  6 Te 3.60-3.91, 1 Rb 3.94
6 Rb 0.8001 0.8711 0.5556  7 Te 3.58-3.88, 1 Li 3.71, 1 Rb 3.94
7 Li 0.8597 0.3159 0.2479  4 Te 2.82-2.97
8 Li 0.4726 0.9174 0.2400  4 Te 2.80-2.89

---

Total energy values (in eV per atom) by entry order: -2.69, -3.08, -3.05, -2.91, -2.75, -3.02, -3.04, -3.10, -3.01, -2.99, -2.76, -3.06.